DFT (PBE) results for a relaxed structure of RbMn3Tc.

Summary:
Energy above the lowest structure with this stoichiometry in eV per atom: 1.6556
Formation energy in eV per atom: 2.77
Magnetization in μB/f.u.: 14.3
Space group: Pm-3m

Cell lengths 4.7869, 4.7869, 4.7869 Å; angles 90.00, 90.00, 90.00 degrees
Last column: nearest neighbours and their distance in Å.
Fractional coordinates of all 5 atoms:
Tc  0.5000  0.5000  0.5000  12 Mn 3.38
Mn  0.5000  0.0000  0.0000  2 Rb 2.39
Mn  0.0000  0.5000  0.0000  2 Rb 2.39
Rb  0.0000  0.0000  0.0000  6 Mn 2.39
Mn  0.0000  0.0000  0.5000  2 Rb 2.39

***

DFT (PBE) results for a relaxed structure of CrB2AuI.

Summary:
Formation energy from raw total energies in meV per atom: 1319
Magnetization in μB/f.u.: 0.0
Space group: P4/mmm

Cell lengths 4.0239, 5.4382, 4.0239 Å; angles 90.00, 90.00, 90.00 degrees
Last column: nearest neighbours and their distance in Å.
Fractional coordinates of all 5 atoms:
Cr  0.0000  0.0000  0.0000  4 B 2.01
B  0.0000  0.0000  0.5000  2 Cr 2.01
B  0.5000  0.0000  0.0000  2 Cr 2.01
I  0.0000  0.5000  0.0000  2 Cr 2.72, 4 Au 2.85
Au  0.5000  0.5000  0.5000  4 I 2.85

***

DFT (PBE) results for a relaxed structure of SbPPd6.

Summary:
Formation energy from raw total energies in meV per atom: -200
Magnetization in μB/f.u.: 0.0
Space group: C2/m

Cell lengths 8.1115, 8.1115, 6.6120 Å; angles 109.23, 105.94, 120.50 degrees
Last column: nearest neighbours and their distance in Å.
Fractional coordinates of all 16 atoms:
Pd  0.7825  0.5751  0.3576  2 Sb 2.58, 6 Pd 2.81-2.85
Pd  0.8140  0.1605  0.6374  1 P 2.25
Sb  0.5000  0.5000  0.5000  6 Pd 2.58-2.61
Pd  0.7188  0.5214  0.8933  1 P 2.31
Pd  0.4768  0.8234  0.6374  1 P 2.25
P  0.5000  0.0000  0.0000  6 Pd 2.25-2.34
Pd  0.1860  0.8395  0.3626  1 P 2.25
Pd  0.6281  0.8255  0.1067  1 P 2.31
Pd  0.8885  0.2927  0.1812  2 P 2.34
Pd  0.5232  0.1766  0.3626  1 P 2.25
Pd  0.2175  0.4249  0.6424  2 Sb 2.58, 6 Pd 2.81-2.85
Pd  0.3719  0.1745  0.8933  1 P 2.31
P  0.0000  0.5000  0.0000  6 Pd 2.25-2.34
Pd  0.1115  0.7073  0.8188  2 P 2.34
Sb  0.0000  0.0000  0.5000  6 Pd 2.58-2.61
Pd  0.2812  0.4786  0.1067  1 P 2.31

***

DFT (PBE) results for a relaxed structure of HfTaGa.

Summary:
Energy above the lowest structure with this stoichiometry in eV per atom: 0.2180
Formation energy in eV per atom: 0.04
Magnetization in μB/f.u.: 0.2
Space group: P3m1

Cell lengths 2.9911, 4.6992, 4.6992 Å; angles 120.00, 90.00, 90.00 degrees
Last column: nearest neighbours and their distance in Å.
Fractional coordinates of all 3 atoms:
Ga  0.0958  0.0000  0.0000  3 Ta 2.74, 3 Hf 2.98, 2 Ga 2.99
Hf  0.6831  0.6667  0.3333  6 Ga 2.98-3.23, 2 Hf 2.99, 6 Ta 3.04-3.15
Ta  0.2212  0.3333  0.6667  3 Ga 2.74, 2 Ta 2.99, 3 Hf 3.04

***

What is the magnetization in the second record? 0.0 μB/f.u.